The following is a PBE calculation of an optimized crystal structure of BeHgN, from the Alexandria database.

Cell lengths 3.0619, 3.0619, 9.3580 Å; angles 99.25, 99.25, 59.89 degrees
Fractional coordinates of all 6 atoms:
Be 0.1932 0.1932 0.0834
Be 0.8068 0.8068 0.9166
Hg 0.0497 0.0497 0.6472
Hg 0.9503 0.9503 0.3528
N 0.1298 0.1298 0.8842
N 0.8702 0.8702 0.1158

Values from the calculation:
The volume is 12.43 Å³/atom. The value obtained for the total energy is -4.31 eV/atom. The value obtained for the size of the total moment is 0.00 μB/f.u. The space group is C2/m (12). The calculation puts the formation energy without anion corrections at -0.188 eV per atom.